# 1
DFT (PBE) results for crystalline CoNi4Ge2 at its relaxed geometry.

Space-group type   Cmce, No. 64
Total magnetization   3.689 Bohr magnetons per cell
E_form   16 meV per atom

a b c (Å): 8.1161 4.9075 5.0270
angles (deg): 119.22 90.00 90.00
Closest atoms and distances in Å follow each position.
Positions (direct):
Ni: 0.8030 0.5014 0.0000  2 Ge 2.32, 1 Co 2.46, 6 Ni 2.55-2.60
Ni: 0.7500 0.5008 0.5000  4 Ge 2.42-2.43, 6 Ni 2.45-2.55
Ni: 0.7500 0.0008 0.5000  4 Ge 2.42-2.43, 6 Ni 2.45-2.55
Ni: 0.6970 0.0014 0.0000  2 Ge 2.32, 1 Co 2.46, 6 Ni 2.55-2.60
Ni: 0.3030 0.9986 0.0000  2 Ge 2.32, 1 Co 2.46, 6 Ni 2.55-2.60
Ni: 0.2500 0.9992 0.5000  4 Ge 2.42-2.43, 6 Ni 2.45-2.55
Ni: 0.2500 0.4992 0.5000  4 Ge 2.42-2.43, 6 Ni 2.45-2.55
Ni: 0.1970 0.4986 0.0000  2 Ge 2.32, 1 Co 2.46, 6 Ni 2.55-2.60
Ge: 0.0000 0.6920 0.3840  6 Ni 2.32-2.43
Ge: 0.0000 0.3080 0.6160  6 Ni 2.32-2.43
Ge: 0.5000 0.8080 0.6160  6 Ni 2.32-2.43
Ge: 0.5000 0.1920 0.3840  6 Ni 2.32-2.43
Co: 0.0000 0.0000 0.0000  2 Ni 2.46, 2 Ge 2.70
Co: 0.5000 0.5000 0.0000  2 Ni 2.46, 2 Ge 2.70

---

# 2
DFT (PBE) results for crystalline Sc5Hg at its relaxed geometry.

Space-group type   P6/mmm, No. 191
Total magnetization   0.018 Bohr magnetons per cell
Energy above the most stable polymorph in this dataset   51.1 kJ/mol of atoms
E_form   407 meV per atom

a b c (Å): 5.8584 5.8584 5.2747
angles (deg): 90.00 90.00 120.00
Closest atoms and distances in Å follow each position.
Positions (direct):
Sc: 0.0000 0.5000 0.5000  8 Sc 2.93-3.13
Sc: 0.3333 0.6667 0.0000  9 Sc 3.13-3.38, 3 Hg 3.38
Sc: 0.5000 0.0000 0.5000  8 Sc 2.93-3.13
Sc: 0.5000 0.5000 0.5000  8 Sc 2.93-3.13
Sc: 0.6667 0.3333 0.0000  9 Sc 3.13-3.38, 3 Hg 3.38
Hg: 0.0000 0.0000 0.0000  6 Sc 3.38

---

# 3
DFT (PBE) results for crystalline La3Sb2S at its relaxed geometry.

Space-group type   Fddd, No. 70
E_form (uncorrected)   -1.545 eV per atom
Total magnetization   0.000 Bohr magnetons per cell

a b c (Å): 7.7632 7.7632 14.1583
angles (deg): 100.50 100.50 109.60
Closest atoms and distances in Å follow each position.
Positions (direct):
La: 0.1648 0.6763 0.8278  2 S 3.07-3.10, 4 Sb 3.20-3.25
La: 0.6630 0.1514 0.8278  2 S 3.07-3.10, 4 Sb 3.20-3.25
La: 0.0852 0.0737 0.6722  2 S 3.07-3.10, 4 Sb 3.20-3.25
La: 0.5870 0.5986 0.6722  2 S 3.07-3.10, 4 Sb 3.20-3.25
La: 0.0156 0.5156 0.5000  2 S 3.07, 4 Sb 3.18-3.23
La: 0.4844 0.9844 0.5000  2 S 3.07, 4 Sb 3.18-3.23
La: 0.4014 0.4130 0.3278  2 S 3.07-3.10, 4 Sb 3.20-3.25
La: 0.9263 0.9148 0.3278  2 S 3.07-3.10, 4 Sb 3.20-3.25
La: 0.8486 0.3370 0.1722  2 S 3.07-3.10, 4 Sb 3.20-3.25
La: 0.3237 0.8352 0.1722  2 S 3.07-3.10, 4 Sb 3.20-3.25
La: 0.2344 0.2344 0.0000  2 S 3.07, 4 Sb 3.18-3.23
La: 0.7656 0.7656 0.0000  2 S 3.07, 4 Sb 3.18-3.23
Sb: 0.9983 0.4983 0.9967  6 La 3.18-3.23
Sb: 0.4187 0.4187 0.8375  6 La 3.20-3.25
Sb: 0.8313 0.3313 0.6625  6 La 3.20-3.25
Sb: 0.2517 0.2517 0.5033  6 La 3.18-3.23
Sb: 0.7483 0.7483 0.4967  6 La 3.18-3.23
Sb: 0.6687 0.1687 0.3375  6 La 3.20-3.25
Sb: 0.5813 0.5813 0.1625  6 La 3.20-3.25
Sb: 0.5017 0.0017 0.0033  6 La 3.18-3.23
S: 0.9165 0.9165 0.8330  6 La 3.07-3.10
S: 0.3335 0.8335 0.6670  6 La 3.07-3.10
S: 0.1665 0.6665 0.3330  6 La 3.07-3.10
S: 0.0835 0.0835 0.1670  6 La 3.07-3.10

---

# 4
DFT (PBE) results for crystalline Ac2ZnPb at its relaxed geometry.

Space-group type   P4/mmm, No. 123
Total magnetization   0.000 Bohr magnetons per cell
E_form   -356 meV per atom

a b c (Å): 4.3246 5.5571 5.5571
angles (deg): 90.00 90.00 90.00
Closest atoms and distances in Å follow each position.
Positions (direct):
Pb: 0.5000 0.5000 0.5000  8 Ac 3.52, 4 Zn 3.93
Ac: 0.0000 0.0000 0.5000  4 Pb 3.52, 4 Zn 3.52, 4 Ac 3.93
Ac: 0.0000 0.5000 0.0000  4 Pb 3.52, 4 Zn 3.52, 4 Ac 3.93
Zn: 0.5000 0.0000 0.0000  8 Ac 3.52, 4 Pb 3.93

---

# 5
DFT (PBE) results for crystalline AcPrHg at its relaxed geometry.

Space-group type   P3m1, No. 156
Total magnetization   0.000 Bohr magnetons per cell
Energy above the most stable polymorph in this dataset   11.5 kJ/mol of atoms
E_form   -181 meV per atom

a b c (Å): 4.1489 5.4374 5.4374
angles (deg): 120.00 90.00 90.00
Closest atoms and distances in Å follow each position.
Positions (direct):
Pr: 0.4976 0.6667 0.3333  3 Hg 3.14
Ac: 0.9994 0.0000 0.0000  6 Hg 3.75-3.77, 6 Pr 3.76-3.77, 2 Ac 4.15
Hg: 0.5030 0.3333 0.6667  3 Pr 3.14

---

# 6
DFT (PBE) results for crystalline Li5Mg2Ga2Hg at its relaxed geometry.

Space-group type   P4/mbm, No. 127
Total magnetization   0.000 Bohr magnetons per cell
E_form   -187 meV per atom

a b c (Å): 3.7296 10.0016 10.0016
angles (deg): 90.00 90.00 90.00
Closest atoms and distances in Å follow each position.
Positions (direct):
Li: 0.5000 0.1967 0.0696  2 Ga 2.62, 2 Hg 2.80
Li: 0.5000 0.8033 0.9304  2 Ga 2.62, 2 Hg 2.80
Li: 0.5000 0.0696 0.8033  2 Ga 2.62, 2 Hg 2.80
Li: 0.5000 0.6967 0.4304  2 Ga 2.62, 2 Hg 2.80
Li: 0.5000 0.9304 0.1967  2 Ga 2.62, 2 Hg 2.80
Li: 0.5000 0.3033 0.5696  2 Ga 2.62, 2 Hg 2.80
Li: 0.5000 0.5696 0.6967  2 Ga 2.62, 2 Hg 2.80
Li: 0.5000 0.4304 0.3033  2 Ga 2.62, 2 Hg 2.80
Li: 0.5000 0.5000 0.0000  4 Ga 2.61
Li: 0.5000 0.0000 0.5000  4 Ga 2.61
Mg: 0.0000 0.6682 0.1682  3 Ga 2.87-3.00, 2 Li 3.02
Mg: 0.0000 0.3318 0.8318  3 Ga 2.87-3.00, 2 Li 3.02
Mg: 0.0000 0.1682 0.3318  3 Ga 2.87-3.00, 2 Li 3.02
Mg: 0.0000 0.8318 0.6682  3 Ga 2.87-3.00, 2 Li 3.02
Ga: 0.0000 0.1288 0.6288  6 Li 2.61-2.62, 1 Mg 2.87
Ga: 0.0000 0.8712 0.3712  6 Li 2.61-2.62, 1 Mg 2.87
Ga: 0.0000 0.6288 0.8712  6 Li 2.61-2.62, 1 Mg 2.87
Ga: 0.0000 0.3712 0.1288  6 Li 2.61-2.62, 1 Mg 2.87
Hg: 0.0000 0.0000 0.0000  8 Li 2.80
Hg: 0.0000 0.5000 0.5000  8 Li 2.80

---

# 7
DFT (PBE) results for crystalline K4SiP at its relaxed geometry.

Space-group type   F-43m, No. 216
E_form (uncorrected)   0.711 eV per atom
Total magnetization   1.247 Bohr magnetons per cell

a b c (Å): 6.5993 6.5993 6.5993
angles (deg): 60.00 60.00 60.00
Closest atoms and distances in Å follow each position.
Positions (direct):
K: 0.8729 0.3757 0.3757  6 K 3.28-3.32
K: 0.3757 0.3757 0.8729  6 K 3.28-3.32
K: 0.3757 0.8729 0.3757  6 K 3.28-3.32
K: 0.3757 0.3757 0.3757  6 K 3.28-3.32
Si: 0.0000 0.0000 0.0000  12 K 3.87, 4 P 4.04
P: 0.7500 0.7500 0.7500  12 K 3.87, 4 Si 4.04

---

# 8
DFT (PBE) results for crystalline NbAs2PtSe at its relaxed geometry.

Space-group type   P4/mmm, No. 123
E_form (uncorrected)   0.642 eV per atom
Total magnetization   0.000 Bohr magnetons per cell
Energy above the most stable polymorph in this dataset   0.0 kJ/mol of atoms

a b c (Å): 4.9807 4.9807 4.8689
angles (deg): 90.00 90.00 90.00
Closest atoms and distances in Å follow each position.
Positions (direct):
As: 0.0000 0.5000 0.0000  2 Nb 2.49
As: 0.5000 0.0000 0.0000  2 Nb 2.49
Nb: 0.0000 0.0000 0.0000  2 Se 2.43, 4 As 2.49
Se: 0.0000 0.0000 0.5000  2 Nb 2.43
Pt: 0.5000 0.5000 0.5000  8 As 3.48, 4 Se 3.52

---

# 9
DFT (PBE) results for crystalline CaTbPr4 at its relaxed geometry.

Space-group type   Pmmm, No. 47
Total magnetization   0.000 Bohr magnetons per cell
Energy above the most stable polymorph in this dataset   0.0 kJ/mol of atoms
E_form   34 meV per atom

a b c (Å): 3.6685 5.2782 11.1713
angles (deg): 90.01 90.03 89.99
Closest atoms and distances in Å follow each position.
Positions (direct):
Ca: 0.0000 0.5000 0.0000  2 Ca 3.67, 10 Pr 3.79-3.80
Tb: 0.5000 0.0000 0.5000  10 Pr 3.57-3.68, 2 Tb 3.67
Pr: 0.5006 0.0002 0.8197  1 Tb 3.57, 6 Pr 3.67, 4 Ca 3.79-3.80
Pr: 0.4994 0.9998 0.1803  1 Tb 3.57, 6 Pr 3.67, 4 Ca 3.79-3.80
Pr: 0.0007 0.5002 0.6604  7 Pr 3.58-3.67, 4 Tb 3.68, 1 Ca 3.79
Pr: 0.9993 0.4998 0.3396  7 Pr 3.58-3.67, 4 Tb 3.68, 1 Ca 3.79

---

# 10
DFT (PBE) results for crystalline BaHgBi2H at its relaxed geometry.

Space-group type   P4/mmm, No. 123
Total magnetization   0.000 Bohr magnetons per cell
Energy above the most stable polymorph in this dataset   0.0 kJ/mol of atoms

a b c (Å): 4.9816 4.9816 5.6346
angles (deg): 90.00 90.00 90.00
Closest atoms and distances in Å follow each position.
Positions (direct):
Ba: 0.0000 0.0000 0.5000  2 H 2.82
Bi: 0.0000 0.5000 0.0000  2 H 2.49
Bi: 0.5000 0.0000 0.0000  2 H 2.49
H: 0.0000 0.0000 0.0000  4 Bi 2.49
Hg: 0.5000 0.5000 0.5000  4 Ba 3.52, 8 Bi 3.76